No. 1
CaTc2Hg | PBE | relaxed

Summary:
Formation energy in eV per formula unit: 3.1
Total magnetization in μB/cell: 0.00
SG: No. 65
D(E_F) in states/eV per cell: 4.3
DFT total energy in Ry/atom: -0.367

Cell: 2.8033 2.8033 9.6109 Å, 90.00 90.00 101.16°
Last column: nearest neighbours and their distance in Å.
Fractional positions:
Tc (0.0000, 0.0000, 0.9896)  4 Tc 2.80, 2 Hg 2.91, 2 Ca 3.07
Ca (0.5000, 0.5000, 0.2500)  4 Ca 2.80, 4 Tc 3.07
Hg (0.5000, 0.5000, 0.7500)  4 Hg 2.80, 4 Tc 2.91
Tc (0.0000, 0.0000, 0.5104)  4 Tc 2.80, 2 Hg 2.91, 2 Ca 3.07

=====

No. 2
Dy8GaP3Se4 | PBE | relaxed

Summary:
Total magnetization in μB/cell: 0.00
SG: No. 166
D(E_F) in states/eV per cell: 3.3
Uncorrected formation energy in eV/atom: -1.63
DFT total energy in Ry/atom: -0.441

Cell: 8.1081 8.1652 8.1081 Å, 119.77 120.00 90.00°
Last column: nearest neighbours and their distance in Å.
Fractional positions:
Dy (0.2457, 0.7344, 0.4914)  2 P 2.81, 1 Ga 2.83, 3 Se 2.93-2.94
P (0.5000, 0.5000, 0.0000)  6 Dy 2.80-2.81
Se (0.5000, 0.0000, 0.5000)  6 Dy 2.94-2.96
Dy (0.7543, 0.2656, 0.5086)  2 P 2.81, 1 Ga 2.83, 3 Se 2.93-2.94
P (0.0000, 0.5000, 0.5000)  6 Dy 2.80-2.81
Se (0.0000, 0.0000, 0.5000)  6 Dy 2.94-2.96
Dy (0.7430, 0.7290, 0.4860)  3 P 2.80, 3 Se 2.96
P (0.5000, 0.5000, 0.5000)  6 Dy 2.80-2.81
Dy (0.7430, 0.7344, 0.9887)  2 P 2.81, 1 Ga 2.83, 3 Se 2.93-2.94
Dy (0.2570, 0.2656, 0.0113)  2 P 2.81, 1 Ga 2.83, 3 Se 2.93-2.94
Se (0.5000, 0.0000, 0.0000)  6 Dy 2.93
Ga (0.0000, 0.5000, 0.0000)  6 Dy 2.83
Dy (0.7543, 0.2656, 0.0113)  2 P 2.81, 1 Ga 2.83, 3 Se 2.93-2.94
Dy (0.2570, 0.2710, 0.5140)  3 P 2.80, 3 Se 2.96
Dy (0.2457, 0.7344, 0.9887)  2 P 2.81, 1 Ga 2.83, 3 Se 2.93-2.94
Se (0.0000, 0.0000, 0.0000)  6 Dy 2.94-2.96

=====

No. 3
CsZnGePSe | PBE | relaxed

Summary:
Total magnetization in μB/cell: 0.00
SG: No. 8
E above lowest polymorph in meV/atom: 4
Uncorrected formation energy in eV/atom: -0.47
DFT total energy in Ry/atom: -0.264

Cell: 8.8366 3.8661 9.8389 Å, 90.00 117.12 90.00°
Last column: nearest neighbours and their distance in Å.
Fractional positions:
Ge (0.6097, 0.0000, 0.5868)  2 P 2.44, 1 Zn 2.48, 1 Se 2.60
P (0.4570, 0.0000, 0.1127)  1 Zn 2.42, 2 Ge 2.44
Zn (0.6843, 0.0000, 0.3721)  1 P 2.42, 1 Ge 2.48, 2 Se 2.54
Cs (0.1621, 0.5000, 0.1928)  3 P 3.61-3.75, 3 Se 3.68-3.69, 2 Cs 3.87, 1 Zn 3.95
Zn (0.6843, 0.5000, 0.8721)  1 P 2.42, 1 Ge 2.48, 2 Se 2.54
P (0.4570, 0.5000, 0.6127)  1 Zn 2.42, 2 Ge 2.44
Ge (0.6097, 0.5000, 0.0868)  2 P 2.44, 1 Zn 2.48, 1 Se 2.60
Cs (0.1621, 0.0000, 0.6928)  3 P 3.61-3.75, 3 Se 3.68-3.69, 2 Cs 3.87, 1 Zn 3.95
Se (0.8632, 0.5000, 0.3595)  2 Zn 2.54, 1 Ge 2.60
Se (0.8632, 0.0000, 0.8595)  2 Zn 2.54, 1 Ge 2.60

=====

No. 4
AcHoSnPd | PBE | relaxed

Summary:
Formation energy in eV per formula unit: -2.5
Total magnetization in μB/cell: 0.00
SG: No. 216
D(E_F) in states/eV per cell: 2.1
DFT total energy in Ry/atom: -0.375

Cell: 5.4035 5.4035 5.4035 Å, 60.00 60.00 60.00°
Last column: nearest neighbours and their distance in Å.
Fractional positions:
Ac (0.2500, 0.2500, 0.2500)  4 Sn 3.31, 4 Pd 3.31
Sn (0.5000, 0.5000, 0.5000)  4 Ac 3.31, 4 Ho 3.31
Ho (0.7500, 0.7500, 0.7500)  4 Pd 3.31, 4 Sn 3.31
Pd (0.0000, 0.0000, 0.0000)  4 Ho 3.31, 4 Ac 3.31

=====

Question: Which of these has the highest DFT total energy?
Answer: CsZnGePSe

=====

Question: What is the DFT total energy in the second record?
Answer: -0.441 Ry/atom